Here is crystalline Mn2CuWO at its relaxed geometry from Alexandria. Energies are from PBE+U.

Cell and atoms, written as POSCAR:
```
Mn2CuWO
1.0
5.134 0.000 0.000
0.000 5.134 0.000
0.000 0.000 3.478
O Mn Cu W
1 2 1 1
Cartesian
0.000 0.000 1.739 O
0.000 2.567 0.000 Mn
2.567 0.000 0.000 Mn
0.000 0.000 0.000 Cu
2.567 2.567 1.739 W
```

Output
Calculated volume in Å³/cell: 91.7
VASP energy in eV/cell: -27.89